Below is crystalline Tm6Te5C at its relaxed geometry, with properties calculated at the PBE-GGA level.

Results
calculated density = 8.789 g cm⁻³
DFT total energy = -65.28 eV per formula unit
crystal system = monoclinic
magnetization = 0.0 Bohr magnetons per cell

a = 7.350 Å, b = 12.628 Å, c = 7.182 Å
α = 90.00°, β = 109.42°, γ = 90.00°
Space group C2/m (No. 12)
Inequivalent atoms, fractional coordinates:
Tm 0.200 0.000 0.276
Tm 0.207 0.139 0.709
Te 0.000 0.181 0.000
Te 0.000 0.336 0.500
Te 0.000 0.500 0.000
C 0.000 0.000 0.500